Record 1
5
Lattice="5.4769 0.0000 0.0000 0.0000 5.4769 0.0000 0.0000 0.0000 5.4769" Properties=species:S:1:pos:R:3 comment="SiBi3Pb (PBE-GGA, optimized geometry)" total_magnetization_mub_per_fu=0.0 sg="No. 221" n_ef_per_ev_cell=7.52 dft_energy_ev_per_cell=-18.3 polymorph_energy_mev_per_atom=0.0 pbc="T T T"
Si 0.0000 0.0000 0.0000
Bi 0.0000 0.0000 2.7384
Bi 0.0000 2.7384 0.0000
Bi 2.7384 0.0000 0.0000
Pb 2.7384 2.7384 2.7384

Record 2
4
Lattice="3.6968 0.0000 0.0000 -1.8484 3.2015 0.0000 0.0000 0.0000 10.4821" Properties=species:S:1:pos:R:3 comment="SrMg3 (PBE-GGA, optimized geometry)" formation_energy_kj_per_mol_fu=61 total_magnetization_mub_per_fu=0.0 sg="No. 187" n_ef_per_ev_cell=2.20 dft_energy_ev_per_cell=-5.8 pbc="T T T"
Sr 0.0000 0.0000 0.0000
Mg 0.0000 0.0000 5.2411
Mg 0.0000 2.1344 2.9104
Mg 0.0000 2.1344 7.5718

Record 3
11
Lattice="-3.2481 3.2481 8.1295 3.2481 -3.2481 8.1295 3.2481 3.2481 -8.1295" Properties=species:S:1:pos:R:3 comment="Tl6In4Pb (PBE-GGA, optimized geometry)" formation_energy_kj_per_mol_fu=87 total_magnetization_mub_per_fu=0.0 sg="No. 121" n_ef_per_ev_cell=6.09 dft_energy_ev_per_cell=-28.0 pbc="T T T"
Tl 3.2481 0.0000 0.0000
Tl 1.9806 1.9806 -2.9607
Tl 1.2675 -1.2675 11.0902
Tl 0.0000 3.2481 0.0000
Tl 1.2675 1.2675 5.1688
Tl -1.2675 1.2675 11.0902
In 2.1001 -2.1001 6.1229
In 1.1479 1.1479 2.0066
In -2.1001 2.1001 6.1229
In 2.1001 2.1001 10.1362
Pb 0.0000 0.0000 8.1295

Record 4
5
Lattice="3.8006 0.0000 0.0000 0.0000 3.8006 0.0000 0.0000 0.0000 5.0603" Properties=species:S:1:pos:R:3 comment="VInSN2 (PBE-GGA, optimized geometry)" total_magnetization_mub_per_fu=0.3 sg="No. 123" n_ef_per_ev_cell=2.28 dft_energy_ev_per_cell=-32.0 polymorph_energy_mev_per_atom=0.0 pbc="T T T"
V 0.0000 0.0000 0.0000
In 1.9003 1.9003 2.5302
S 0.0000 0.0000 2.5302
N 0.0000 1.9003 0.0000
N 1.9003 0.0000 0.0000

Record 5
4
Lattice="0.0000 3.4604 3.4604 3.4604 0.0000 3.4604 3.4604 3.4604 0.0000" Properties=species:S:1:pos:R:3 comment="DyTmCuSi (PBE-GGA, optimized geometry)" total_magnetization_mub_per_fu=0.0 sg="No. 216" n_ef_per_ev_cell=2.89 dft_energy_ev_per_cell=-20.3 polymorph_energy_mev_per_atom=110.2 pbc="T T T"
Dy 0.0000 0.0000 0.0000
Tm 3.4604 3.4604 3.4604
Cu 1.7302 1.7302 1.7302
Si 5.1906 5.1906 5.1906

Record 6
4
Lattice="3.5848 0.0000 0.0000 0.0000 3.5848 0.0000 0.0000 0.0000 10.0199" Properties=species:S:1:pos:R:3 comment="NdSmTm2 (PBE-GGA, optimized geometry)" formation_energy_kj_per_mol_fu=9 total_magnetization_mub_per_fu=0.0 sg="No. 123" n_ef_per_ev_cell=5.98 dft_energy_ev_per_cell=-18.3 polymorph_energy_mev_per_atom=6.7 pbc="T T T"
Nd 0.0000 0.0000 0.0000
Sm 0.0000 0.0000 5.0099
Tm 1.7924 1.7924 2.5215
Tm 1.7924 1.7924 7.4984

Record 7
4
Lattice="0.0000 3.4948 3.4948 3.4948 0.0000 3.4948 3.4948 3.4948 0.0000" Properties=species:S:1:pos:R:3 comment="EuThNiRu (PBE-GGA, optimized geometry)" formation_energy_kj_per_mol_fu=-61 total_magnetization_mub_per_fu=6.6 sg="No. 216" n_ef_per_ev_cell=9.35 dft_energy_ev_per_cell=-33.4 pbc="T T T"
Eu 0.0000 0.0000 0.0000
Th 3.4948 3.4948 3.4948
Ni 5.2421 5.2421 5.2421
Ru 1.7474 1.7474 1.7474

Record 8
10
Lattice="0.0000 6.9783 2.8208 4.7944 0.0000 2.8208 4.7944 6.9783 0.0000" Properties=species:S:1:pos:R:3 comment="Zr2Re3 (PBE-GGA, optimized geometry)" formation_energy_kj_per_mol_fu=8 total_magnetization_mub_per_fu=0.0 sg="No. 43" n_ef_per_ev_cell=9.27 dft_energy_ev_per_cell=-108.7 polymorph_energy_mev_per_atom=0.0 pbc="T T T"
Zr 5.5315 2.8151 2.8208
Zr 6.4545 6.3042 4.2312
Zr 4.0573 11.1416 2.8208
Zr 3.1343 7.6524 4.2312
Re 4.7944 6.9783 1.1012
Re 4.1691 5.2687 2.8247
Re 2.3972 3.4892 2.5116
Re 5.4197 8.6880 2.8247
Re 7.8169 8.7579 4.2351
Re 6.5663 12.1771 4.2351

Record 9
4
Lattice="3.6529 0.0000 0.0000 -1.8265 3.1635 0.0000 0.0000 0.0000 11.7775" Properties=species:S:1:pos:R:3 comment="PmPrNdEr (PBE-GGA, optimized geometry)" formation_energy_kj_per_mol_fu=6 total_magnetization_mub_per_fu=0.0 sg="No. 156" n_ef_per_ev_cell=4.40 dft_energy_ev_per_cell=-18.8 polymorph_energy_mev_per_atom=0.0 pbc="T T T"
Pm 0.0000 0.0000 0.0000
Pr 1.8265 1.0545 5.9870
Nd 0.0000 2.1090 2.9647
Er 0.0000 2.1090 8.9058

Record 10
5
Lattice="4.8208 0.0000 0.0000 0.0000 4.8208 0.0000 0.0000 0.0000 4.7099" Properties=species:S:1:pos:R:3 comment="MgZr2AgS (PBE-GGA, optimized geometry)" total_magnetization_mub_per_fu=0.0 sg="No. 123" n_ef_per_ev_cell=2.99 dft_energy_ev_per_cell=-26.9 pbc="T T T"
Mg 0.0000 0.0000 0.0000
Zr 0.0000 2.4104 2.3549
Zr 2.4104 0.0000 2.3549
Ag 2.4104 2.4104 0.0000
S 0.0000 0.0000 2.3549

Record 11
8
Lattice="4.7220 0.0000 0.0000 -0.0394 4.8223 0.0000 -1.0846 -0.2057 5.1639" Properties=species:S:1:pos:R:3 comment="MnGe2Ir (PBE-GGA, optimized geometry)" formation_energy_kj_per_mol_fu=-1 total_magnetization_mub_per_fu=0.2 sg="No. 2" n_ef_per_ev_cell=5.37 dft_energy_ev_per_cell=-54.6 pbc="T T T"
Mn 0.0691 2.1425 0.9420
Mn 3.5290 2.4740 4.2219
Ge 0.0126 4.5230 1.3764
Ge 1.1388 3.3688 4.2713
Ge 2.4592 1.2478 0.8926
Ge 3.5854 0.0936 3.7874
Ir 1.2140 1.0265 3.3366
Ir 2.3840 3.5901 1.8273

Record 12
15
Lattice="4.7847 2.7625 8.3246 -4.7847 2.7625 8.3246 0.0000 -5.5249 8.3246" Properties=species:S:1:pos:R:3 comment="Ba8AsP3I3 (PBE-GGA, optimized geometry)" total_magnetization_mub_per_fu=1.0 sg="No. 166" n_ef_per_ev_cell=1.82 dft_energy_ev_per_cell=-60.6 pbc="T T T"
Ba -2.4346 -1.4056 14.1746
Ba 0.0000 0.0000 5.8254
Ba 0.0000 -2.8112 10.7993
Ba -2.4346 1.4056 10.7993
Ba 2.4346 -1.4056 14.1746
Ba 0.0000 2.8112 14.1746
Ba 0.0000 0.0000 19.1484
Ba 2.4346 1.4056 10.7993
As 0.0000 0.0000 12.4869
P -4.7847 0.0000 12.4869
P -2.3924 1.3812 4.1623
P 2.3924 1.3812 4.1623
I -2.3924 -1.3812 8.3246
I -2.3924 1.3812 16.6492
I 0.0000 2.7625 8.3246

Record 13
4
Lattice="4.6710 -1.2701 0.0000 4.6710 1.2701 0.0000 -1.5266 0.0000 4.2611" Properties=species:S:1:pos:R:3 comment="TaBe2Zn (PBE-GGA, optimized geometry)" formation_energy_kj_per_mol_fu=66 total_magnetization_mub_per_fu=0.0 sg="No. 8" n_ef_per_ev_cell=1.01 dft_energy_ev_per_cell=-19.9 pbc="T T T"
Ta 0.0000 0.0000 0.0000
Be 0.9764 0.0000 3.5974
Be 4.2477 0.0000 2.2463
Zn 6.7932 0.0000 1.5780

Record 14
4
Lattice="0.0000 3.9906 3.9906 3.9906 0.0000 3.9906 3.9906 3.9906 0.0000" Properties=species:S:1:pos:R:3 comment="CeSmEuMg (PBE-GGA, optimized geometry)" formation_energy_kj_per_mol_fu=77 total_magnetization_mub_per_fu=6.0 sg="No. 216" n_ef_per_ev_cell=10.59 dft_energy_ev_per_cell=-21.7 pbc="T T T"
Ce 0.0000 0.0000 0.0000
Sm 1.9953 1.9953 1.9953
Eu 5.9860 5.9860 5.9860
Mg 3.9906 3.9906 3.9906

Record 15
4
Lattice="3.0089 0.0000 0.0000 0.0000 3.1012 0.0000 0.0000 0.0000 6.7738" Properties=species:S:1:pos:R:3 comment="Fe2MoBr (PBE-GGA, optimized geometry)" total_magnetization_mub_per_fu=1.0 sg="No. 47" n_ef_per_ev_cell=4.54 dft_energy_ev_per_cell=-27.4 polymorph_energy_mev_per_atom=89.0 pbc="T T T"
Fe 0.0000 0.0000 1.3063
Fe 0.0000 0.0000 5.4675
Mo 1.5045 1.5506 0.0000
Br 1.5045 0.0000 3.3869

Record 16
5
Lattice="3.9582 0.0000 0.0000 0.0000 3.9582 0.0000 0.0000 0.0000 4.2646" Properties=species:S:1:pos:R:3 comment="HPt2RhAu (PBE-GGA, optimized geometry)" total_magnetization_mub_per_fu=0.0 sg="No. 123" n_ef_per_ev_cell=5.94 dft_energy_ev_per_cell=-24.9 polymorph_energy_mev_per_atom=107.7 pbc="T T T"
H 0.0000 0.0000 0.0000
Pt 0.0000 1.9791 0.0000
Pt 1.9791 0.0000 0.0000
Rh 1.9791 1.9791 2.1323
Au 0.0000 0.0000 2.1323

Record 17
3
Lattice="0.0000 3.6466 3.6466 3.6466 0.0000 3.6466 3.6466 3.6466 0.0000" Properties=species:S:1:pos:R:3 comment="BaFeSi (PBE-GGA, optimized geometry)" total_magnetization_mub_per_fu=3.7 sg="No. 216" n_ef_per_ev_cell=5.98 dft_energy_ev_per_cell=-11.7 pbc="T T T"
Ba 0.0000 0.0000 0.0000
Fe 1.8233 1.8233 1.8233
Si 5.4700 5.4700 5.4700

Record 18
12
Lattice="-3.7641 3.7641 7.6621 3.7641 -3.7641 7.6621 3.7641 3.7641 -7.6621" Properties=species:S:1:pos:R:3 comment="Tb3Tm8Pu (PBE-GGA, optimized geometry)" formation_energy_kj_per_mol_fu=874 total_magnetization_mub_per_fu=6.1 sg="No. 139" n_ef_per_ev_cell=20.38 dft_energy_ev_per_cell=-54.9 pbc="T T T"
Tb 0.0000 0.0000 0.0000
Tb 3.7641 0.0000 3.8311
Tb 0.0000 3.7641 3.8311
Tm 1.9248 1.9248 -1.8514
Tm 1.8393 -1.8393 5.8108
Tm 1.9248 1.9248 1.8514
Tm 1.8393 -1.8393 9.5135
Tm -1.8393 1.8393 5.8108
Tm 1.8393 1.8393 5.8108
Tm -1.8393 1.8393 9.5135
Tm 1.8393 1.8393 9.5135
Pu 0.0000 0.0000 7.6621

Record 19
28
Lattice="-4.2392 5.0830 5.3305 4.2392 -5.0830 5.3305 4.2392 5.0830 -5.3305" Properties=species:S:1:pos:R:3 comment="Ca2HfF11 (PBE-GGA, optimized geometry)" total_magnetization_mub_per_fu=1.1 sg="No. 72" n_ef_per_ev_cell=12.51 dft_energy_ev_per_cell=-152.8 pbc="T T T"
Ca 1.7199 2.1383 0.0000
Ca 5.9591 2.9447 0.0000
Ca -1.7199 2.1383 5.3305
Ca 2.5193 2.9447 5.3305
Hf 4.2392 0.0000 2.6653
Hf 0.0000 5.0830 2.6653
F 0.0000 0.0000 0.0000
F 5.0098 1.6425 -1.5906
F 5.8060 -0.6985 1.4682
F 3.6688 -3.4685 5.3305
F 5.0098 -1.6425 3.7399
F 2.6724 0.6985 1.4682
F 2.6724 -0.6985 3.8623
F 5.0098 1.6425 1.5906
F 3.6688 3.4685 0.0000
F 1.5668 5.7814 -1.4682
F 0.7707 3.4405 1.5906
F 0.0000 0.0000 5.3305
F 3.4685 1.6425 3.7399
F 2.6724 -0.6985 6.7987
F 0.5704 1.6144 5.3305
F -0.7707 3.4405 3.7399
F 1.5668 5.7814 1.4682
F 1.5668 4.3845 3.8623
F -0.7707 6.7254 1.5906
F 0.5704 8.5515 0.0000
F -1.5668 5.7814 3.8623
F -0.7707 3.4405 6.9211

Record 20
4
Lattice="3.5540 0.0000 0.0000 -1.7770 3.0779 0.0000 0.0000 0.0000 11.2691" Properties=species:S:1:pos:R:3 comment="Er2TmTh (PBE-GGA, optimized geometry)" formation_energy_kj_per_mol_fu=-3 total_magnetization_mub_per_fu=0.0 sg="No. 164" n_ef_per_ev_cell=5.45 dft_energy_ev_per_cell=-21.1 polymorph_energy_mev_per_atom=0.0 pbc="T T T"
Er 0.0000 2.0519 2.7912
Er 1.7770 1.0260 8.4778
Tm 0.0000 0.0000 5.6345
Th 0.0000 0.0000 0.0000

Record 21
4
Lattice="1.9681 1.1363 6.5104 -1.9681 1.1363 6.5104 0.0000 -2.2725 6.5104" Properties=species:S:1:pos:R:3 comment="HoHfAs2 (PBE-GGA, optimized geometry)" formation_energy_kj_per_mol_fu=-484 total_magnetization_mub_per_fu=0.0 sg="No. 166" n_ef_per_ev_cell=1.65 dft_energy_ev_per_cell=-28.8 polymorph_energy_mev_per_atom=0.0 pbc="T T T"
Ho 0.0000 0.0000 0.0000
Hf 0.0000 0.0000 9.7656
As 0.0000 0.0000 4.7820
As 0.0000 0.0000 14.7492

Record 22
7
Lattice="4.5342 -2.6140 0.0000 4.5342 2.6140 0.0000 -2.9979 0.0000 8.5432" Properties=species:S:1:pos:R:3 comment="Ca2Nd2Ag3 (PBE-GGA, optimized geometry)" formation_energy_kj_per_mol_fu=-109 total_magnetization_mub_per_fu=0.0 sg="No. 12" n_ef_per_ev_cell=6.70 dft_energy_ev_per_cell=-23.2 pbc="T T T"
Ca 0.0071 0.0000 3.1992
Ca 6.0634 0.0000 5.3440
Nd 3.0226 0.0000 1.0513
Nd 3.0478 0.0000 7.4919
Ag 0.0225 0.0000 6.4680
Ag 3.0352 0.0000 4.2716
Ag 6.0479 0.0000 2.0752

Record 23
11
Lattice="-1.7258 2.6436 5.2249 1.7258 -2.6436 5.2249 1.7258 2.6436 -5.2249" Properties=species:S:1:pos:R:3 comment="ThSc2H8 (PBE-GGA, optimized geometry)" total_magnetization_mub_per_fu=0.0 sg="No. 71" n_ef_per_ev_cell=3.04 dft_energy_ev_per_cell=-52.4 pbc="T T T"
Th 0.0000 0.0000 0.0000
Sc 0.0000 0.0000 3.4229
Sc 0.0000 0.0000 7.0270
H 1.7258 -1.1883 3.4533
H 1.7258 0.0000 1.6352
H 1.7258 1.5899 0.0000
H 0.0000 1.4554 1.7716
H 1.7258 1.1883 3.4533
H 0.0000 1.0537 5.2249
H 0.0000 2.6436 3.5897
H 0.0000 3.8319 1.7716

Record 24
5
Lattice="-1.9452 1.9452 6.3398 1.9452 -1.9452 6.3398 1.9452 1.9452 -6.3398" Properties=species:S:1:pos:R:3 comment="LaPuAsO2 (PBE-GGA, optimized geometry)" total_magnetization_mub_per_fu=4.3 sg="No. 107" n_ef_per_ev_cell=9.70 dft_energy_ev_per_cell=-46.2 pbc="T T T"
La 0.0000 0.0000 0.0000
Pu 0.0000 0.0000 3.7852
As 0.0000 0.0000 8.3110
O 1.9452 0.0000 4.9646
O 0.0000 1.9452 4.9646

Record 25
6
Lattice="2.5493 0.0000 0.0000 0.4000 5.0379 0.0000 0.5088 1.0840 6.5893" Properties=species:S:1:pos:R:3 comment="LiCuMo (PBE-GGA, optimized geometry)" formation_energy_kj_per_mol_fu=63 total_magnetization_mub_per_fu=0.0 sg="No. 1" n_ef_per_ev_cell=2.92 dft_energy_ev_per_cell=-32.4 polymorph_energy_mev_per_atom=56.9 pbc="T T T"
Li 0.0000 0.0000 0.0000
Li 1.5624 1.9390 4.3056
Cu 1.1277 0.8325 2.1569
Cu 1.7865 3.4986 6.4631
Mo 2.4761 3.2856 2.1129
Mo 3.0411 4.3942 4.2339

Record 26
8
Lattice="-3.2032 3.2032 2.4889 3.2032 -3.2032 2.4889 3.2032 3.2032 -2.4889" Properties=species:S:1:pos:R:3 comment="V2CrFe (PBE-GGA, optimized geometry)" formation_energy_kj_per_mol_fu=187 total_magnetization_mub_per_fu=0.0 sg="No. 122" n_ef_per_ev_cell=10.23 dft_energy_ev_per_cell=-68.8 polymorph_energy_mev_per_atom=644.6 pbc="T T T"
V 4.8047 1.5281 -0.6222
V 1.5281 1.6016 0.6222
V -1.6016 1.6750 1.8667
V 1.6750 1.6016 3.1112
Cr 3.2032 0.0000 1.2445
Cr 0.0000 0.0000 2.4889
Fe 0.0000 0.0000 0.0000
Fe 0.0000 3.2032 1.2445